The following is a DFT calculation (GGA-PBE) of a relaxed Na3Ti2CuS6 crystal.

Computed properties:
As for the uncorrected formation energy: -1.0984 eV per atom.

Unit cell a=6.288 b=6.288 c=6.864 alpha=98.75 beta=98.75 gamma=120.12
Atoms (fractional coordinates):
Ti1 0.332 0.668 0.000
Na1 0.838 0.162 0.500
S1 0.931 0.586 0.793
S2 0.725 0.725 0.205
Cu1 0.000 0.000 0.000
S3 0.586 0.931 0.793
Na2 0.162 0.838 0.500
S4 0.414 0.069 0.207
S5 0.069 0.414 0.207
Na3 0.500 0.500 0.500
Ti2 0.668 0.332 0.000
S6 0.275 0.275 0.795


The following is a DFT calculation (GGA-PBE) of a relaxed Na2TiCuS4 crystal.

Computed properties:
As for the uncorrected formation energy: -0.9364 eV per atom.

Unit cell a=3.517 b=7.018 c=6.751 alpha=67.12 beta=90.00 gamma=90.00
Atoms (fractional coordinates):
Cu1 0.500 0.500 0.000
Ti1 0.000 0.500 0.500
S1 0.500 0.268 0.704
S2 0.000 0.332 0.229
Na1 0.500 0.000 0.500
S3 0.500 0.732 0.296
Na2 0.000 0.000 0.000
S4 0.000 0.668 0.771


The following is a DFT calculation (GGA-PBE) of a relaxed NaTiCuS3 crystal.

Computed properties:
As for the uncorrected formation energy: -1.0523 eV per atom.

Unit cell a=3.576 b=7.481 c=8.893 alpha=108.65 beta=90.00 gamma=90.00
Atoms (fractional coordinates):
S1 0.250 0.747 0.449
Na1 0.750 0.761 0.729
S2 0.250 0.099 0.860
Cu1 0.750 0.916 0.397
Cu2 0.250 0.084 0.603
S3 0.750 0.253 0.551
Na2 0.250 0.239 0.271
S4 0.750 0.901 0.140
Ti1 0.750 0.313 0.833
Ti2 0.250 0.687 0.167
S5 0.250 0.553 0.865
S6 0.750 0.447 0.135


The following is a DFT calculation (GGA-PBE) of a relaxed NaTlCuS2 crystal.

Computed properties:
As for the uncorrected formation energy: -0.4138 eV per atom.

Unit cell a=4.716 b=6.930 c=7.707 alpha=110.30 beta=90.00 gamma=90.00
Atoms (fractional coordinates):
Na1 0.245 0.500 0.750
Tl1 0.413 0.000 0.250
Na2 0.755 0.500 0.250
S1 0.751 0.268 0.512
Tl2 0.587 0.000 0.750
S2 0.751 0.732 0.988
Cu1 0.000 0.000 0.000
S3 0.249 0.268 0.012
S4 0.249 0.732 0.488
Cu2 0.000 0.000 0.500


The following is a DFT calculation (GGA-PBE) of a relaxed NaTm2Cu2S4 crystal.

Computed properties:
As for the uncorrected formation energy: -1.1796 eV per atom.

Unit cell a=3.571 b=7.264 c=7.236 alpha=115.07 beta=90.00 gamma=104.23
Atoms (fractional coordinates):
S1 0.470 0.940 0.273
Na1 0.000 0.000 0.000
Cu1 0.688 0.375 0.028
Tm1 0.129 0.258 0.565
S2 0.530 0.060 0.727
S3 0.210 0.420 0.267
Tm2 0.871 0.742 0.435
S4 0.790 0.580 0.733
Cu2 0.312 0.625 0.972


The following is a DFT calculation (GGA-PBE) of a relaxed Na2UCuS4 crystal.

Computed properties:
As for the uncorrected formation energy: -1.0310 eV per atom.

Unit cell a=4.024 b=6.166 c=7.055 alpha=105.82 beta=90.00 gamma=90.00
Each line ends with the local moment (μB).
Atoms (fractional coordinates):
S1 0.500 0.735 0.759  -0.05
S2 0.500 0.265 0.241  -0.05
Cu1 0.000 0.000 0.000  -0.07
Na1 0.500 0.000 0.500  0.00
S3 0.000 0.242 0.796  -0.04
U1 0.500 0.500 0.000  1.26
S4 0.000 0.758 0.204  -0.04
Na2 0.000 0.500 0.500  0.00


The following is a DFT calculation (GGA-PBE) of a relaxed Na2UCuS5 crystal.

Computed properties:
As for the uncorrected formation energy: -0.8923 eV per atom.

Unit cell a=3.927 b=8.779 c=12.987 alpha=90.00 beta=90.00 gamma=102.92
Atoms (fractional coordinates):
Na1 0.080 0.160 0.664
Na2 0.099 0.197 0.362
S1 0.718 0.436 0.890
S2 0.496 0.991 0.285
Cu1 0.583 0.165 0.919
U1 0.217 0.433 0.022
S3 0.282 0.564 0.390
S4 0.360 0.720 0.021
S5 0.932 0.865 0.511
S6 0.068 0.135 0.011
Cu2 0.417 0.835 0.419
S7 0.290 0.580 0.650
Na3 0.901 0.803 0.862
Na4 0.920 0.840 0.164
U2 0.783 0.567 0.522
S8 0.504 0.009 0.785
S9 0.710 0.420 0.150
S10 0.640 0.280 0.521


The following is a DFT calculation (GGA-PBE) of a relaxed NaUCuS3 crystal.

Computed properties:
As for the uncorrected formation energy: -1.1021 eV per atom.

Unit cell a=3.896 b=8.174 c=8.648 alpha=103.67 beta=90.00 gamma=90.00
Each line ends with the local moment (μB).
Atoms (fractional coordinates):
U1 0.750 0.324 0.834  2.03
S1 0.750 0.441 0.159  -0.06
S2 0.750 0.894 0.139  -0.05
Cu1 0.750 0.917 0.412  -0.03
S3 0.250 0.784 0.480  -0.04
Na1 0.750 0.808 0.762  0.00
U2 0.250 0.676 0.166  2.03
S4 0.250 0.559 0.841  -0.06
S5 0.250 0.106 0.861  -0.05
Na2 0.250 0.192 0.238  0.00
Cu2 0.250 0.083 0.588  -0.03
S6 0.750 0.216 0.520  -0.04


The following is a DFT calculation (GGA-PBE) of a relaxed Na3U3CuS8 crystal.

Computed properties:
As for the uncorrected formation energy: -1.1854 eV per atom.

Unit cell a=7.762 b=7.747 c=8.104 alpha=118.49 beta=90.00 gamma=120.07
Each line ends with the local moment (μB).
Atoms (fractional coordinates):
S1 0.236 0.473 0.715  -0.07
S2 0.761 0.022 0.283  -0.07
S3 0.764 0.527 0.285  -0.07
U1 0.500 0.500 0.500  2.04
Na1 0.500 0.500 0.000  0.00
U2 0.000 0.500 0.500  2.04
S4 0.255 0.511 0.267  -0.05
S5 0.740 0.978 0.717  -0.07
Na2 0.000 0.000 0.000  0.00
U3 0.500 0.000 0.500  2.04
Na3 0.000 0.500 0.000  0.00
S6 0.745 0.489 0.733  -0.05
S7 0.260 0.022 0.283  -0.07
Cu1 0.000 0.000 0.500  -0.08
S8 0.239 0.978 0.717  -0.07


The following is a DFT calculation (GGA-PBE) of a relaxed Na3UCu2S6 crystal.

Computed properties:
As for the uncorrected formation energy: -0.8765 eV per atom.

Unit cell a=6.887 b=6.887 c=6.885 alpha=97.72 beta=97.72 gamma=127.10
Atoms (fractional coordinates):
Na1 0.500 0.500 0.500
Cu1 0.612 0.388 0.000
Na2 0.818 0.182 0.500
S1 0.581 0.883 0.798
S2 0.419 0.117 0.202
Cu2 0.388 0.612 0.000
Na3 0.182 0.818 0.500
S3 0.117 0.419 0.202
U1 0.000 0.000 0.000
S4 0.883 0.581 0.798
S5 0.231 0.231 0.750
S6 0.769 0.769 0.250


The following is a DFT calculation (GGA-PBE) of a relaxed Na4U3CuS8 crystal.

Computed properties:
As for the uncorrected formation energy: -1.2094 eV per atom.

Unit cell a=7.800 b=8.091 c=7.808 alpha=118.87 beta=119.97 gamma=90.00
Each line ends with the local moment (μB).
Atoms (fractional coordinates):
Na1 0.000 0.000 0.500  0.00
U1 0.500 0.500 0.000  2.27
S1 0.759 0.276 0.519  -0.06
S2 0.744 0.733 0.489  -0.06
Cu1 0.000 0.500 0.000  -0.04
Na2 0.500 0.000 0.000  0.00
S3 0.239 0.723 0.983  -0.06
Na3 0.500 0.000 0.500  0.00
S4 0.761 0.277 0.017  -0.06
U2 0.000 0.500 0.500  2.27
U3 0.500 0.500 0.500  2.27
S5 0.256 0.267 0.511  -0.06
Na4 0.000 0.000 0.000  0.00
S6 0.241 0.724 0.481  -0.06
S7 0.744 0.723 0.983  -0.06
S8 0.256 0.277 0.017  -0.06


The following is a DFT calculation (GGA-PBE) of a relaxed Na2VCuS4 crystal.

Computed properties:
As for the uncorrected formation energy: -0.8389 eV per atom.

Unit cell a=6.945 b=6.749 c=7.536 alpha=90.00 beta=90.00 gamma=90.00
Atoms (fractional coordinates):
V1 0.983 0.194 0.000
V2 0.483 0.806 0.500
S1 0.274 0.077 0.000
Cu1 0.978 0.198 0.500
Na1 0.053 0.776 0.750
S2 0.937 0.369 0.760
Cu2 0.478 0.802 0.000
Na2 0.053 0.776 0.250
Na3 0.553 0.224 0.250
Na4 0.553 0.224 0.750
S3 0.774 0.923 0.500
S4 0.785 0.946 0.000
S5 0.937 0.369 0.240
S6 0.437 0.631 0.740
S7 0.285 0.054 0.500
S8 0.437 0.631 0.260


The following is a DFT calculation (GGA-PBE) of a relaxed NaVCu2S4 crystal.

Computed properties:
As for the uncorrected formation energy: -0.6590 eV per atom.

Unit cell a=6.380 b=6.380 c=6.380 alpha=126.73 beta=126.73 gamma=78.68
Atoms (fractional coordinates):
Cu1 0.250 0.750 0.500
S1 0.350 0.924 0.000
V1 0.000 0.000 0.000
S2 0.076 0.076 0.425
S3 0.650 0.650 0.575
Na1 0.500 0.500 0.000
Cu2 0.750 0.250 0.500
S4 0.924 0.350 0.000


The following is a DFT calculation (GGA-PBE) of a relaxed NaYCuS2 crystal.

Computed properties:
As for the uncorrected formation energy: -1.0282 eV per atom.

Unit cell a=4.607 b=6.679 c=7.635 alpha=99.20 beta=90.00 gamma=90.00
Atoms (fractional coordinates):
Cu1 0.000 0.000 0.000
Y1 0.509 0.000 0.750
S1 0.695 0.740 0.968
Cu2 0.000 0.000 0.500
S2 0.305 0.740 0.468
S3 0.695 0.260 0.532
Na1 0.136 0.500 0.750
Na2 0.864 0.500 0.250
S4 0.305 0.260 0.032
Y2 0.491 0.000 0.250


The following is a DFT calculation (GGA-PBE) of a relaxed NaZnCuS2 crystal.

Computed properties:
As for the uncorrected formation energy: -0.6637 eV per atom.

Unit cell a=5.041 b=6.419 c=6.492 alpha=101.89 beta=90.00 gamma=90.00
Atoms (fractional coordinates):
Zn1 0.502 0.000 0.250
S1 0.698 0.760 0.952
Zn2 0.498 0.000 0.750
S2 0.302 0.760 0.452
Na1 0.199 0.500 0.750
Na2 0.801 0.500 0.250
S3 0.302 0.240 0.048
S4 0.698 0.240 0.548
Cu1 0.000 0.000 0.500
Cu2 0.000 0.000 0.000


The following is a DFT calculation (GGA-PBE) of a relaxed NaZnCu2S crystal.

Computed properties:
As for the uncorrected formation energy: 0.0962 eV per atom.

Unit cell a=4.415 b=5.288 c=4.415 alpha=90.00 beta=90.00 gamma=90.00
Atoms (fractional coordinates):
S1 0.000 0.000 0.000
Cu1 0.500 0.000 0.000
Na1 0.000 0.500 0.000
Zn1 0.500 0.500 0.500
Cu2 0.000 0.000 0.500


The following is a DFT calculation (GGA-PBE) of a relaxed Na3Zr2CuS6 crystal.

Computed properties:
As for the uncorrected formation energy: -1.2443 eV per atom.

Unit cell a=6.504 b=6.504 c=6.979 alpha=98.99 beta=98.99 gamma=119.88
Atoms (fractional coordinates):
S1 0.268 0.268 0.782
S2 0.073 0.411 0.217
Cu1 0.000 0.000 0.000
S3 0.589 0.927 0.783
S4 0.411 0.073 0.217
Na1 0.836 0.164 0.500
Na2 0.500 0.500 0.500
Zr1 0.667 0.333 0.000
Na3 0.164 0.836 0.500
Zr2 0.333 0.667 0.000
S5 0.732 0.732 0.218
S6 0.927 0.589 0.783


The following is a DFT calculation (GGA-PBE) of a relaxed Na2Zr2CuS6 crystal.

Computed properties:
As for the uncorrected formation energy: -1.1622 eV per atom.

Unit cell a=6.455 b=6.455 c=7.111 alpha=98.09 beta=98.09 gamma=121.34
Each line ends with the local moment (μB).
Atoms (fractional coordinates):
S1 0.414 0.073 0.718  0.05
S2 0.927 0.586 0.282  0.05
S3 0.073 0.414 0.718  0.05
S4 0.586 0.927 0.282  0.05
Zr1 0.331 0.669 0.500  0.01
Na1 0.162 0.838 0.000  0.00
S5 0.245 0.245 0.303  0.10
Zr2 0.669 0.331 0.500  0.01
Cu1 0.000 0.000 0.500  0.38
Na2 0.838 0.162 0.000  0.00
S6 0.755 0.755 0.697  0.10


The following is a DFT calculation (GGA-PBE) of a relaxed NaZr2Cu3S6 crystal.

Computed properties:
As for the uncorrected formation energy: -0.9007 eV per atom.

Unit cell a=3.771 b=8.745 c=7.425 alpha=103.99 beta=104.71 gamma=90.00
Atoms (fractional coordinates):
Cu1 0.168 0.966 0.336
S1 0.977 0.219 0.954
S2 0.302 0.859 0.605
S3 0.023 0.781 0.046
Zr1 0.147 0.321 0.295
S4 0.698 0.141 0.395
Na1 0.500 0.000 0.000
Cu2 0.500 0.500 0.000
Cu3 0.832 0.034 0.664
S5 0.343 0.473 0.686
S6 0.657 0.527 0.314
Zr2 0.853 0.679 0.705


The following is a DFT calculation (GGA-PBE) of a relaxed Na4Zr3CuS8 crystal.

Computed properties:
As for the uncorrected formation energy: -1.2985 eV per atom.

Unit cell a=7.480 b=7.948 c=7.481 alpha=118.09 beta=120.00 gamma=90.00
Atoms (fractional coordinates):
S1 0.240 0.716 0.977
Na1 0.000 0.000 0.500
S2 0.263 0.284 0.023
S3 0.741 0.724 0.483
S4 0.760 0.284 0.520
Na2 0.500 0.000 0.000
S5 0.240 0.716 0.480
Zr1 0.000 0.500 0.500
Zr2 0.500 0.500 0.000
S6 0.760 0.284 0.023
Na3 0.500 0.000 0.500
Na4 0.000 0.000 0.000
Cu1 0.000 0.500 0.000
S7 0.737 0.716 0.977
Zr3 0.500 0.500 0.500
S8 0.259 0.276 0.517


The following is a DFT calculation (GGA-PBE) of a relaxed NaCu6Sb2 crystal.

Computed properties:
As for the uncorrected formation energy: -0.0063 eV per atom.

Unit cell a=4.190 b=4.190 c=9.260 alpha=90.00 beta=90.00 gamma=90.00
Atoms (fractional coordinates):
Na1 0.000 0.000 0.000
Cu1 0.000 0.500 0.350
Cu2 0.500 0.500 0.500
Cu3 0.000 0.500 0.650
Sb1 0.500 0.500 0.817
Sb2 0.500 0.500 0.183
Cu4 0.000 0.000 0.500
Cu5 0.500 0.000 0.650
Cu6 0.500 0.000 0.350


Number 1: E -61.8 eV/f.u.. Number 2: E -38.6 eV/f.u.. Number 3: E -32.0 eV/f.u.. Number 4: E -18.1 eV/f.u.. Number 5: E -45.6 eV/f.u.. Number 6: E -42.8 eV/f.u.. Number 7: E -46.7 eV/f.u.. Number 8: E -35.7 eV/f.u.. Number 9: E -92.7 eV/f.u.. Number 10: E -58.7 eV/f.u.. Number 11: E -95.6 eV/f.u.. Number 12: E -39.1 eV/f.u.. Number 13: E -40.4 eV/f.u.. Number 14: E -25.3 eV/f.u.. Number 15: E -18.3 eV/f.u.. Number 16: E -14.4 eV/f.u.. Number 17: E -64.8 eV/f.u.. Number 18: E -61.4 eV/f.u.. Number 19: E -66.3 eV/f.u.. Number 20: E -88.8 eV/f.u.. Number 21: E -34.2 eV/f.u..